The following is a DFT calculation (PBE+U) of an optimized crystal structure of FeRuN2F.

a = 3.793 Å, b = 3.793 Å, c = 3.647 Å
α = 90.00°, β = 90.00°, γ = 90.00°
Space group P4/mmm (No. 123)
One atom of each set of equivalent atoms:
Fe: 0.000 0.000 0.000 x1
Ru: 0.500 0.500 0.500 x1
N: 0.000 0.500 0.000 x2
F: 0.000 0.000 0.500 x1

Energy ... -5.553 eV per atom
M_tot ... 3.1 μB/f.u.